## BaTaAu (GGA-PBE)

Data for crystalline BaTaAu at its relaxed geometry.

a b c (Å): 3.4747 3.5110 13.4076
angles (deg): 89.83 97.87 90.00
With the nearest neighbours (Å) after each atom.
Positions (direct):
Au1 0.5379 0.2933 0.5845  5 Ta 2.92-3.00
Au2 0.2193 0.7892 0.9278  5 Ta 2.92-3.00
Ba1 0.8130 0.2869 0.1052  4 Au 3.41, 4 Ba 3.47-3.51
Ba2 0.9441 0.7948 0.4071  4 Au 3.41, 4 Ba 3.47-3.51
Ta1 0.6574 0.2906 0.8106  4 Ta 2.86, 5 Au 2.92-3.00
Ta2 0.0998 0.7919 0.7017  4 Ta 2.86, 5 Au 2.92-3.00

Calculated values
DFT formation energy = 25 meV/atom
calculated density = 10.6 g cm⁻³
electronic total energy = -5.66 eV per atom
distance to the lowest polymorph of the same formula = 0.0014 eV/atom